i | A relaxed Pm12Ho5Tm2 crystal, computed with PBE.

```
Pm12Ho5Tm2
1.0
8.9168 -5.8404 0.0000
8.9168 5.8404 0.0000
-1.3441 0.0000 6.0562
Pm Ho Tm
12 5 2
direct
0.0466 0.5605 0.8018
0.0558 0.0558 0.2738
0.1480 0.6449 0.3826
0.3551 0.8520 0.6174
0.3812 0.3812 0.9959
0.4395 0.9534 0.1982
0.5605 0.0466 0.8018
0.6188 0.6188 0.0041
0.6449 0.1480 0.3826
0.8520 0.3551 0.6174
0.9442 0.9442 0.7262
0.9534 0.4395 0.1982
0.1777 0.1777 0.8602
0.2837 0.2837 0.4438
0.5000 0.5000 0.5000
0.7163 0.7163 0.5562
0.8223 0.8223 0.1398
0.2677 0.7323 0.0000
0.7323 0.2677 0.0000
```

---

ii | A relaxed Pm12Ho5Tm2 crystal, computed with PBE.

```
Pm12Ho5Tm2
1.0
7.9302 -4.6218 0.0000
7.9302 4.6218 0.0000
-0.3025 0.0000 8.6927
Pm Ho Tm
12 5 2
direct
0.0604 0.0604 0.3419
0.0677 0.6753 0.3219
0.1666 0.5306 0.7630
0.3247 0.9323 0.6781
0.4179 0.4179 0.1171
0.4694 0.8334 0.2370
0.5306 0.1666 0.7630
0.5821 0.5821 0.8829
0.6753 0.0677 0.3219
0.8334 0.4694 0.2370
0.9323 0.3247 0.6781
0.9396 0.9396 0.6581
0.2019 0.2019 0.0265
0.2688 0.2688 0.4322
0.5000 0.5000 0.5000
0.7312 0.7312 0.5678
0.7981 0.7981 0.9735
0.1711 0.8289 0.0000
0.8289 0.1711 0.0000
```

---

Stability, highest: i

---

i | A relaxed Pm2Ho3Tm3 crystal, computed with PBE.

```
Pm2Ho3Tm3
1.0
4.3465 2.5094 3.9377
-4.3465 2.5094 3.9377
0.0000 -5.0189 3.9377
Pm Ho Tm
2 3 3
direct
0.2414 0.2414 0.2414
0.7586 0.7586 0.7586
0.0000 0.7646 0.2354
0.2354 0.0000 0.7646
0.7646 0.2354 0.0000
0.2671 0.5000 0.7329
0.5000 0.7329 0.2671
0.7329 0.2671 0.5000
```

---

ii | A relaxed Pm2Ho3Tm3 crystal, computed with PBE.

```
Pm2Ho3Tm3
1.0
5.0158 0.0000 0.0000
0.0000 5.0174 0.0000
0.0000 0.0000 19.9834
Pm Ho Tm
4 6 6
direct
0.0000 0.0000 0.2500
0.0000 0.0000 0.7500
0.5000 0.5000 0.2500
0.5000 0.5000 0.7500
0.0000 0.0000 0.0000
0.0000 0.5000 0.1229
0.0000 0.5000 0.8771
0.5000 0.0000 0.3771
0.5000 0.0000 0.6229
0.5000 0.5000 0.5000
0.0000 0.0000 0.5000
0.0000 0.5000 0.3770
0.0000 0.5000 0.6230
0.5000 0.0000 0.1230
0.5000 0.0000 0.8770
0.5000 0.5000 0.0000
```

---

Stability, highest: ii

---

i | A relaxed Pm6HoTm12 crystal, computed with PBE.

```
Pm6HoTm12
1.0
5.4973 3.1739 5.7836
-5.4973 3.1739 5.7836
0.0000 -6.3477 5.7836
Pm Ho Tm
6 1 12
direct
0.2671 0.2671 0.6636
0.2671 0.6636 0.2671
0.3364 0.7329 0.7329
0.6636 0.2671 0.2671
0.7329 0.3364 0.7329
0.7329 0.7329 0.3364
0.5000 0.5000 0.5000
0.0133 0.0133 0.6953
0.0133 0.6953 0.0133
0.0151 0.3630 0.3630
0.3047 0.9867 0.9867
0.3630 0.0151 0.3630
0.3630 0.3630 0.0151
0.6370 0.6370 0.9849
0.6370 0.9849 0.6370
0.6953 0.0133 0.0133
0.9849 0.6370 0.6370
0.9867 0.3047 0.9867
0.9867 0.9867 0.3047
```

---

ii | A relaxed Pm6HoTm12 crystal, computed with PBE.

```
Pm6HoTm12
1.0
6.5632 3.7893 4.1701
-6.5632 3.7893 4.1701
0.0000 -7.5786 4.1701
Pm Ho Tm
6 1 12
direct
0.1557 0.5984 0.5984
0.4016 0.4016 0.8443
0.4016 0.8443 0.4016
0.5984 0.1557 0.5984
0.5984 0.5984 0.1557
0.8443 0.4016 0.4016
0.5000 0.5000 0.5000
0.0000 0.2563 0.7437
0.0000 0.7437 0.2563
0.1455 0.1455 0.4187
0.1455 0.4187 0.1455
0.2563 0.0000 0.7437
0.2563 0.7437 0.0000
0.4187 0.1455 0.1455
0.5813 0.8545 0.8545
0.7437 0.0000 0.2563
0.7437 0.2563 0.0000
0.8545 0.5813 0.8545
0.8545 0.8545 0.5813
```

---

Stability, highest: i

---

i | A relaxed PmHo12Tm6 crystal, computed with PBE.

```
PmHo12Tm6
1.0
5.8846 3.3975 5.0261
-5.8846 3.3975 5.0261
0.0000 -6.7950 5.0261
Pm Ho Tm
1 12 6
direct
0.0000 0.0000 0.0000
0.0090 0.3570 0.2087
0.2087 0.0090 0.3570
0.2256 0.5649 0.4566
0.3570 0.2087 0.0090
0.4351 0.5434 0.7744
0.4566 0.2256 0.5649
0.5434 0.7744 0.4351
0.5649 0.4566 0.2256
0.6430 0.7913 0.9910
0.7744 0.4351 0.5434
0.7913 0.9910 0.6430
0.9910 0.6430 0.7913
0.0932 0.2561 0.6883
0.2561 0.6883 0.0932
0.3117 0.9068 0.7439
0.6883 0.0932 0.2561
0.7439 0.3117 0.9068
0.9068 0.7439 0.3117
```

---

ii | A relaxed PmHo12Tm6 crystal, computed with PBE.

```
PmHo12Tm6
1.0
7.4365 4.2934 3.3449
-7.4365 4.2934 3.3449
0.0000 -8.5869 3.3449
Pm Ho Tm
1 12 6
direct
0.0000 0.0000 0.0000
0.1112 0.5000 0.8888
0.1112 0.8888 0.5000
0.1440 0.3648 0.3648
0.3648 0.1440 0.3648
0.3648 0.3648 0.1440
0.5000 0.1112 0.8888
0.5000 0.8888 0.1112
0.6352 0.6352 0.8560
0.6352 0.8560 0.6352
0.8560 0.6352 0.6352
0.8888 0.1112 0.5000
0.8888 0.5000 0.1112
0.2697 0.6885 0.6885
0.3115 0.3115 0.7303
0.3115 0.7303 0.3115
0.6885 0.2697 0.6885
0.6885 0.6885 0.2697
0.7303 0.3115 0.3115
```

---

Stability, highest: i

---

i | A relaxed PmHo3Tm4 crystal, computed with PBE.

```
PmHo3Tm4
1.0
3.5282 0.0000 0.0000
0.0000 7.0384 0.0000
0.0000 0.0000 9.9284
Pm Ho Tm
1 3 4
direct
0.0000 0.0000 0.0000
0.0000 0.0000 0.5000
0.0000 0.5000 0.0000
0.0000 0.5000 0.5000
0.5000 0.2517 0.2514
0.5000 0.2517 0.7486
0.5000 0.7483 0.2514
0.5000 0.7483 0.7486
```

---

ii | A relaxed PmHo3Tm4 crystal, computed with PBE.

```
PmHo3Tm4
1.0
11.1570 0.0000 0.0000
0.0000 7.2082 0.0000
0.0000 0.0000 6.2253
Pm Ho Tm
2 6 8
direct
0.0000 0.1266 0.0000
0.5000 0.8734 0.5000
0.0000 0.8733 0.4991
0.2502 0.1270 0.3340
0.2498 0.8730 0.8340
0.5000 0.1267 0.9991
0.7498 0.1270 0.3340
0.7502 0.8730 0.8340
0.0000 0.3769 0.5010
0.0000 0.6231 0.0000
0.2484 0.6231 0.3336
0.2516 0.3769 0.8336
0.5000 0.3769 0.5000
0.5000 0.6231 0.0010
0.7484 0.3769 0.8336
0.7516 0.6231 0.3336
```

---

Stability, highest: ii

---

i | A relaxed Pm4HoTm4 crystal, computed with PBE.

```
Pm4HoTm4
1.0
8.4301 -2.7849 0.0000
8.4301 2.7849 0.0000
-2.7043 0.0000 6.1983
Pm Ho Tm
4 1 4
direct
0.1336 0.1336 0.4593
0.2795 0.2795 0.2136
0.7205 0.7205 0.7864
0.8664 0.8664 0.5407
0.5000 0.5000 0.5000
0.0706 0.0706 0.8738
0.3784 0.3784 0.8301
0.6216 0.6216 0.1699
0.9294 0.9294 0.1262
```

---

ii | A relaxed Pm4HoTm4 crystal, computed with PBE.

```
Pm4HoTm4
1.0
-5.3523 5.3523 2.5147
5.3523 -5.3523 2.5147
5.3523 5.3523 -2.5147
Pm Ho Tm
4 1 4
direct
0.0000 0.3304 0.3304
0.0000 0.6696 0.6696
0.3304 0.0000 0.3304
0.6696 0.0000 0.6696
0.0000 0.0000 0.0000
0.3342 0.3342 0.6684
0.3342 0.6658 0.0000
0.6658 0.3342 0.0000
0.6658 0.6658 0.3316
```

---

Stability, highest: ii

---

i | A relaxed Pm5HoTm2 crystal, computed with PBE.

```
Pm5HoTm2
1.0
6.4466 -7.8791 0.0000
6.4466 7.8791 0.0000
-2.6704 0.0000 5.3361
Pm Ho Tm
10 2 4
direct
0.0424 0.3347 0.9390
0.2021 0.7979 0.7500
0.2851 0.3942 0.5895
0.3347 0.0424 0.4390
0.3942 0.2851 0.0895
0.6058 0.7149 0.9105
0.6653 0.9576 0.5611
0.7149 0.6058 0.4105
0.7979 0.2021 0.2500
0.9576 0.6653 0.0610
0.3446 0.6554 0.2500
0.6554 0.3446 0.7500
0.0000 0.0000 0.0000
0.0000 0.0000 0.5000
0.0000 0.5000 0.5000
0.5000 0.0000 0.0000
```

---

ii | A relaxed Pm5HoTm2 crystal, computed with PBE.

```
Pm5HoTm2
1.0
7.1834 0.0000 0.0000
0.0000 14.3678 0.0000
0.0000 0.0000 5.0802
Pm Ho Tm
10 2 4
direct
0.0000 0.0000 0.0000
0.0014 0.2511 0.0000
0.2482 0.6242 0.5000
0.2518 0.1242 0.5000
0.4986 0.7511 0.0000
0.5000 0.5000 0.0000
0.5014 0.2489 0.0000
0.7482 0.8758 0.5000
0.7518 0.3758 0.5000
0.9986 0.7489 0.0000
0.0000 0.5000 0.0000
0.5000 0.0000 0.0000
0.2504 0.3759 0.5000
0.2496 0.8759 0.5000
0.7504 0.1241 0.5000
0.7496 0.6241 0.5000
```

---

Stability, highest: ii

---

i | A relaxed PmHoTm2 crystal, computed with PBE.

```
PmHoTm2
1.0
3.5409 0.0000 0.0000
-1.7705 3.0665 0.0000
0.0000 0.0000 34.4696
Pm Ho Tm
3 3 6
direct
0.0000 0.0000 0.0000
0.3333 0.6667 0.6667
0.6667 0.3333 0.3333
0.0000 0.0000 0.5000
0.3333 0.6667 0.1667
0.6667 0.3333 0.8333
0.0000 0.0000 0.2489
0.0000 0.0000 0.7511
0.3333 0.6667 0.4178
0.3333 0.6667 0.9155
0.6667 0.3333 0.0845
0.6667 0.3333 0.5822
```

---

ii | A relaxed PmHoTm2 crystal, computed with PBE.

```
PmHoTm2
1.0
6.2227 0.0000 0.0000
0.0000 7.2339 0.0000
-0.0008 0.0000 11.2719
Pm Ho Tm
4 4 8
direct
0.1694 0.0005 0.3750
0.1694 0.9995 0.8750
0.8306 0.0005 0.1250
0.8306 0.9995 0.6250
0.3338 0.2541 0.1244
0.3338 0.7459 0.6244
0.6662 0.2541 0.3756
0.6662 0.7459 0.8756
0.1679 0.4998 0.3750
0.1679 0.5002 0.8750
0.3325 0.2546 0.6256
0.3325 0.7454 0.1256
0.6675 0.2546 0.8744
0.6675 0.7454 0.3744
0.8321 0.4998 0.1250
0.8321 0.5002 0.6250
```

---

iii | A relaxed PmHoTm2 crystal, computed with PBE.

```
PmHoTm2
1.0
7.9765 0.0000 0.0000
0.0000 7.9765 0.0000
0.0000 0.0000 7.9765
Pm Ho Tm
4 4 8
direct
0.0000 0.0000 0.0000
0.0000 0.5000 0.5000
0.5000 0.0000 0.5000
0.5000 0.5000 0.0000
0.0000 0.0000 0.5000
0.0000 0.5000 0.0000
0.5000 0.0000 0.0000
0.5000 0.5000 0.5000
0.2500 0.2500 0.2500
0.2500 0.2500 0.7500
0.2500 0.7500 0.2500
0.2500 0.7500 0.7500
0.7500 0.2500 0.2500
0.7500 0.2500 0.7500
0.7500 0.7500 0.2500
0.7500 0.7500 0.7500
```

---

Stability, highest: ii